{
  "formula": "ZnCdAg2",
  "functional": "GGA-PBE",
  "state": "optimized geometry",
  "cell": [[4.452, 0.000, 0.000], [0.000, 2.939, 0.011], [0.000, 1.413, 5.499]],
  "species": ["Ag", "Ag", "Cd", "Zn"],
  "fractional_positions": [[0.000, 0.586, 0.514], [0.000, 0.914, 0.986], [0.500, 0.250, 0.250], [0.500, 0.750, 0.750]],
  "total_energy_ev_per_atom": -1.989,
  "formation_energy_ev_per_atom": -0.0158,
  "n_ef_per_ev_fu": 0.9
}